CsLi2VF8 (PBE with a Hubbard U, optimized geometry); size of the total moment = 0.0 μB/f.u.; calculated density = 2.99 g/cm³; VASP energy = -58.935 eV/cell; calculated volume = 16.2 Å³ per atom
1.0
-4.136 -1.975 -2.496
-3.258 -1.903 3.607
-6.045 5.269 0.808
V Li Cs F
1 2 1 8
direct
0.000 0.000 0.000 V
0.451 0.451 0.677 Li
0.549 0.549 0.323 Li
0.000 0.000 0.500 Cs
0.788 0.208 0.842 F
0.658 0.658 0.487 F
0.769 0.769 0.093 F
0.212 0.792 0.158 F
0.231 0.231 0.907 F
0.792 0.212 0.158 F
0.342 0.342 0.513 F
0.208 0.788 0.842 F